Entry 1:
Y3ScAu2 | PBE | relaxed

abc: 4.953 8.955 6.875
angles: 90.00 90.00 90.00
Space group Pmc2_1 (No. 26)
Inequivalent atoms, fractional coordinates:
Y: 0.000 0.068 0.000
Y: 0.000 0.339 0.354
Y: 0.500 0.175 0.664
Sc: 0.500 0.428 0.022
Au: 0.000 0.346 0.779
Au: 0.500 0.156 0.243

Summary:
DOS(E_F): 13.06 states/eV/cell



Entry 2:
Y2ScAu | PBE | relaxed

abc: 3.5871 3.5871 29.4526
angles: 90.00 90.00 120.00
Space group R-3m (No. 166, hexagonal axes)
Inequivalent atoms, fractional coordinates:
Y: 0.0000 0.0000 0.2412
Sc: 0.0000 0.0000 0.0000
Au: 0.0000 0.0000 0.5000

Summary:
Energy above the lowest structure with this stoichiometry: 187 meV/atom
DOS(E_F): 15.68 states/eV/cell



We obtain magnetization values of 0.00; 0.00 μB per cell for the records listed above, in that order.
We obtain energy of formation from the pure elements values of -614; -230 meV per atom for the records listed above, in that order.
We obtain electronic total energy values of -71.9; -70.4 eV per cell for the records listed above, in that order.